Model one:
Compound: Be2AlSe
Source: the Alexandria database
Functional: PBE
Structure: optimized geometry

## Properties
The symmetry is P4/mmm, No. 123. As for the crystal system: tetragonal.

Unit cell a=3.334 b=3.334 c=5.102 alpha=90.00 beta=90.00 gamma=90.00
Positions (direct):
Be 0.000 0.000 0.967
Be 0.000 0.000 0.533
Al 0.500 0.500 0.750
Se 0.500 0.500 0.250

Model two:
Compound: Be2AlSe
Source: the Alexandria database
Functional: PBE
Structure: optimized geometry

## Properties
The symmetry is Pmmm, No. 47. As for the crystal system: orthorhombic.

Unit cell a=3.339 b=5.233 c=3.432 alpha=90.00 beta=90.00 gamma=90.00
Positions (direct):
Be 0.000 0.000 0.000
Be 0.500 0.500 0.000
Al 0.000 0.500 0.500
Se 0.500 0.000 0.500

Model three:
Compound: Be2AlSe
Source: the Alexandria database
Functional: PBE
Structure: optimized geometry

## Properties
The symmetry is I4/mmm, No. 139. As for the crystal system: tetragonal.

Unit cell a=4.645 b=4.645 c=4.645 alpha=130.83 beta=130.83 gamma=72.08
Positions (direct):
Be 0.000 0.000 0.000
Be 0.500 0.500 0.000
Al 0.750 0.250 0.500
Se 0.250 0.750 0.500

Most stable of them? model one.

Model one:
Compound: Be2AlSe
Source: the Alexandria database
Functional: PBE
Structure: optimized geometry

## Properties
The symmetry is C2/m, No. 12. As for the crystal system: monoclinic.

Unit cell a=4.362 b=4.362 c=3.276 alpha=83.51 beta=83.51 gamma=109.77
Positions (direct):
Be 0.000 0.000 0.000
Be 0.500 0.500 0.000
Al 0.000 0.500 0.500
Se 0.500 0.000 0.500

Model two:
Compound: Be2AlSe
Source: the Alexandria database
Functional: PBE
Structure: optimized geometry

## Properties
The symmetry is Cmmm, No. 65. As for the crystal system: orthorhombic.

Unit cell a=3.191 b=3.191 c=7.035 alpha=90.00 beta=90.00 gamma=117.83
Positions (direct):
Be 0.000 0.000 0.027
Be 0.000 0.000 0.473
Al 0.500 0.500 0.750
Se 0.500 0.500 0.250

Most stable of them? model one.

Model one:
Compound: Be2Al2Se
Source: the Alexandria database
Functional: PBE
Structure: optimized geometry

## Properties
The symmetry is P4/mbm, No. 127. As for the crystal system: tetragonal.

Unit cell a=6.336 b=6.336 c=3.657 alpha=90.00 beta=90.00 gamma=90.00
Positions (direct):
Be 0.381 0.881 0.000
Be 0.881 0.619 0.000
Be 0.619 0.119 0.000
Be 0.119 0.381 0.000
Al 0.159 0.659 0.500
Al 0.659 0.841 0.500
Al 0.841 0.341 0.500
Al 0.341 0.159 0.500
Se 0.000 0.000 0.000
Se 0.500 0.500 0.000

Model two:
Compound: Be2Al2Se
Source: the Alexandria database
Functional: PBE
Structure: optimized geometry

## Properties
The symmetry is I4/mmm, No. 139. As for the crystal system: tetragonal.

Unit cell a=3.811 b=3.811 c=5.940 alpha=71.29 beta=71.29 gamma=90.00
Positions (direct):
Be 0.400 0.400 0.201
Be 0.600 0.600 0.799
Al 0.750 0.250 0.500
Al 0.250 0.750 0.500
Se 0.000 0.000 0.000

Most stable of them? model one.

Model one:
Compound: BeAlSe3
Source: the Alexandria database
Functional: PBE
Structure: optimized geometry

## Properties
The symmetry is Pm-3m, No. 221. As for the crystal system: cubic.

Unit cell a=4.850 b=4.850 c=4.850 alpha=90.00 beta=90.00 gamma=90.00
Positions (direct):
Be 0.500 0.500 0.500
Al 0.000 0.000 0.000
Se 0.000 0.500 0.000
Se 0.000 0.000 0.500
Se 0.500 0.000 0.000

Model two:
Compound: BeAlSe3
Source: the Alexandria database
Functional: PBE
Structure: optimized geometry

## Properties
The symmetry is Pm-3m, No. 221. As for the crystal system: cubic.

Unit cell a=4.616 b=4.616 c=4.616 alpha=90.00 beta=90.00 gamma=90.00
Positions (direct):
Be 0.000 0.000 0.000
Al 0.500 0.500 0.500
Se 0.000 0.500 0.000
Se 0.000 0.000 0.500
Se 0.500 0.000 0.000

Most stable of them? model two.

Model one:
Compound: Be2AlSi
Source: the Alexandria database
Functional: PBE
Structure: optimized geometry

## Properties
The symmetry is I-42d, No. 122. As for the crystal system: tetragonal.

Unit cell a=3.841 b=3.841 c=7.942 alpha=76.01 beta=76.01 gamma=90.00
Positions (direct):
Be 0.664 0.125 0.250
Be 0.086 0.625 0.250
Be 0.375 0.336 0.750
Be 0.875 0.914 0.750
Si 0.000 0.000 0.000
Si 0.750 0.250 0.500
Al 0.500 0.500 0.000
Al 0.250 0.750 0.500

Model two:
Compound: Be2AlSi
Source: the Alexandria database
Functional: PBE
Structure: optimized geometry

## Properties
The symmetry is Pmm2, No. 25. As for the crystal system: orthorhombic.

Unit cell a=2.516 b=3.396 c=5.634 alpha=90.00 beta=90.00 gamma=90.00
Positions (direct):
Be 0.000 0.000 0.043
Be 0.500 0.500 0.224
Si 0.000 0.000 0.458
Al 0.500 0.500 0.775

Most stable of them? model two.

Model one:
Compound: Be2AlSi
Source: the Alexandria database
Functional: PBE
Structure: optimized geometry

## Properties
The symmetry is P1, No. 1. As for the crystal system: triclinic.

Unit cell a=3.366 b=5.699 c=6.076 alpha=76.86 beta=74.16 gamma=72.83
Positions (direct):
Be 0.749 0.851 0.820
Be 0.939 0.460 0.830
Be 0.438 0.663 0.628
Be 0.590 0.252 0.733
Si 0.159 0.388 0.456
Si 0.070 0.050 0.978
Al 0.874 0.008 0.415
Al 0.646 0.668 0.200

Model two:
Compound: Be2AlSi
Source: the Alexandria database
Functional: PBE
Structure: optimized geometry

## Properties
The symmetry is Fm-3m, No. 225. As for the crystal system: cubic.

Unit cell a=4.045 b=4.045 c=4.045 alpha=60.00 beta=60.00 gamma=60.00
Positions (direct):
Be 0.250 0.250 0.250
Be 0.750 0.750 0.750
Si 0.500 0.500 0.500
Al 0.000 0.000 0.000

Model three:
Compound: Be2AlSi
Source: the Alexandria database
Functional: PBE
Structure: optimized geometry

## Properties
The symmetry is C2/m, No. 12. As for the crystal system: monoclinic.

Unit cell a=4.013 b=4.013 c=4.822 alpha=78.70 beta=78.70 gamma=39.79
Positions (direct):
Be 0.996 0.996 0.039
Be 0.504 0.504 0.461
Si 0.250 0.250 0.250
Al 0.750 0.750 0.750

Model four:
Compound: Be2AlSi
Source: the Alexandria database
Functional: PBE
Structure: optimized geometry

## Properties
The symmetry is P1, No. 1. As for the crystal system: triclinic.

Unit cell a=3.594 b=5.531 c=5.858 alpha=69.11 beta=72.33 gamma=70.18
Positions (direct):
Be 0.437 0.074 0.237
Be 0.807 0.335 0.234
Be 0.174 0.318 0.514
Be 0.680 0.782 0.039
Si 0.546 0.621 0.467
Si 0.088 0.066 0.931
Al 0.826 0.937 0.591
Al 0.366 0.528 0.928

Most stable of them? model four.

Model one:
Compound: Be2AlSi
Source: the Alexandria database
Functional: PBE
Structure: optimized geometry

## Properties
The symmetry is P4/mmm, No. 123. As for the crystal system: tetragonal.

Unit cell a=2.599 b=2.599 c=7.035 alpha=90.00 beta=90.00 gamma=89.98
Positions (direct):
Be 0.000 0.000 0.007
Be 0.000 0.000 0.493
Si 0.500 0.500 0.250
Al 0.500 0.500 0.750

Model two:
Compound: Be2AlSi
Source: the Alexandria database
Functional: PBE
Structure: optimized geometry

## Properties
The symmetry is Pm, No. 6. As for the crystal system: monoclinic.

Unit cell a=3.863 b=2.818 c=4.585 alpha=84.88 beta=90.00 gamma=90.00
Positions (direct):
Be 0.000 0.236 0.996
Be 0.500 0.201 0.237
Si 0.000 0.289 0.489
Al 0.500 0.774 0.778

Most stable of them? model two.

Model one:
Compound: Be2Al2Si
Source: the Alexandria database
Functional: PBE
Structure: optimized geometry

## Properties
The symmetry is I4/mmm, No. 139. As for the crystal system: tetragonal.

Unit cell a=3.687 b=3.687 c=5.717 alpha=71.19 beta=71.19 gamma=90.00
Positions (direct):
Be 0.402 0.402 0.196
Be 0.598 0.598 0.804
Si 0.000 0.000 0.000
Al 0.750 0.250 0.500
Al 0.250 0.750 0.500

Model two:
Compound: Be2Al2Si
Source: the Alexandria database
Functional: PBE
Structure: optimized geometry

## Properties
The symmetry is P4/mbm, No. 127. As for the crystal system: tetragonal.

Unit cell a=7.022 b=7.022 c=2.635 alpha=90.00 beta=90.00 gamma=90.00
Positions (direct):
Be 0.390 0.890 0.000
Be 0.890 0.610 0.000
Be 0.610 0.110 0.000
Be 0.110 0.390 0.000
Si 0.000 0.000 0.000
Si 0.500 0.500 0.000
Al 0.184 0.684 0.500
Al 0.684 0.816 0.500
Al 0.816 0.316 0.500
Al 0.316 0.184 0.500

Most stable of them? model two.

Model one:
Compound: BeAlSi3
Source: the Alexandria database
Functional: PBE
Structure: optimized geometry

## Properties
The symmetry is Pm-3m, No. 221. As for the crystal system: cubic.

Unit cell a=4.708 b=4.708 c=4.708 alpha=90.00 beta=90.00 gamma=90.00
Positions (direct):
Be 0.500 0.500 0.500
Si 0.000 0.500 0.000
Si 0.000 0.000 0.500
Si 0.500 0.000 0.000
Al 0.000 0.000 0.000

Model two:
Compound: BeAlSi3
Source: the Alexandria database
Functional: PBE
Structure: optimized geometry

## Properties
The symmetry is Pm-3m, No. 221. As for the crystal system: cubic.

Unit cell a=4.311 b=4.311 c=4.311 alpha=90.00 beta=90.00 gamma=90.00
Positions (direct):
Be 0.000 0.000 0.000
Si 0.000 0.500 0.000
Si 0.000 0.000 0.500
Si 0.500 0.000 0.000
Al 0.500 0.500 0.500

Most stable of them? model two.

Model one:
Compound: SmBeAl
Source: the Alexandria database
Functional: PBE
Structure: optimized geometry

## Properties
The symmetry is I4_1md, No. 109. As for the crystal system: tetragonal.

Unit cell a=4.132 b=4.132 c=7.810 alpha=105.34 beta=105.34 gamma=90.00
Positions (direct):
Be 0.832 0.832 0.665
Be 0.082 0.582 0.165
Al 0.251 0.751 0.501
Al 0.001 0.001 0.001
Sm 0.417 0.417 0.834
Sm 0.667 0.167 0.334

Model two:
Compound: SmBeAl
Source: the Alexandria database
Functional: PBE
Structure: optimized geometry

## Properties
The symmetry is F-43m, No. 216. As for the crystal system: cubic.

Unit cell a=4.440 b=4.440 c=4.440 alpha=60.00 beta=60.00 gamma=60.00
Positions (direct):
Be 0.250 0.250 0.250
Al 0.500 0.500 0.500
Sm 0.000 0.000 0.000

Most stable of them? model one.

Model one:
Compound: BeAlSn
Source: the Alexandria database
Functional: PBE
Structure: optimized geometry

## Properties
The symmetry is P-1, No. 2. As for the crystal system: triclinic.

Unit cell a=3.988 b=4.676 c=6.291 alpha=100.28 beta=106.86 gamma=90.04
Positions (direct):
Be 0.751 0.614 0.502
Be 0.249 0.386 0.498
Sn 0.688 0.733 0.924
Sn 0.312 0.267 0.076
Al 0.191 0.849 0.374
Al 0.809 0.151 0.626

Model two:
Compound: BeAlSn
Source: the Alexandria database
Functional: PBE
Structure: optimized geometry

## Properties
The symmetry is P-3m1, No. 164. As for the crystal system: trigonal.

Unit cell a=3.661 b=3.661 c=9.437 alpha=89.99 beta=89.99 gamma=60.01
Positions (direct):
Be 0.333 0.833 0.004
Be 0.667 0.167 0.996
Sn 0.666 0.167 0.631
Sn 0.334 0.833 0.369
Al 0.000 0.500 0.142
Al 0.000 0.500 0.858

Model three:
Compound: BeAlSn
Source: the Alexandria database
Functional: PBE
Structure: optimized geometry

## Properties
The symmetry is P2_1/m, No. 11. As for the crystal system: monoclinic.

Unit cell a=3.983 b=4.457 c=6.278 alpha=90.00 beta=101.63 gamma=90.00
Positions (direct):
Be 0.000 0.000 0.500
Be 0.000 0.500 0.500
Sn 0.797 0.250 0.106
Sn 0.203 0.750 0.894
Al 0.545 0.250 0.639
Al 0.455 0.750 0.361

Most stable of them? model two.

Model one:
Compound: BeAl2Sn2
Source: the Alexandria database
Functional: PBE
Structure: optimized geometry

## Properties
The symmetry is P4/mbm, No. 127. As for the crystal system: tetragonal.

Unit cell a=6.396 b=6.396 c=5.029 alpha=90.00 beta=90.00 gamma=90.00
Positions (direct):
Be 0.000 0.000 0.000
Be 0.500 0.500 0.000
Sn 0.178 0.678 0.500
Sn 0.678 0.822 0.500
Sn 0.822 0.322 0.500
Sn 0.322 0.178 0.500
Al 0.351 0.851 0.000
Al 0.851 0.649 0.000
Al 0.649 0.149 0.000
Al 0.149 0.351 0.000

Model two:
Compound: BeAl2Sn2
Source: the Alexandria database
Functional: PBE
Structure: optimized geometry

## Properties
The symmetry is I4/mmm, No. 139. As for the crystal system: tetragonal.

Unit cell a=4.645 b=4.645 c=6.597 alpha=69.39 beta=69.39 gamma=90.00
Positions (direct):
Be 0.000 0.000 0.000
Sn 0.750 0.250 0.500
Sn 0.250 0.750 0.500
Al 0.391 0.391 0.217
Al 0.609 0.609 0.783

Most stable of them? model one.